[1]
# PuPSe (PBE, relaxed)
# Density   8.44 g/cm³
# Electronic total energy   -8.54 eV/atom
# Raw formation energy   -0.798 eV/atom
# Volume   139 Å³/cell
data_PuPSe
_cell_length_a 3.814
_cell_length_b 3.814
_cell_length_c 9.575
_cell_angle_alpha 90.00
_cell_angle_beta 90.00
_cell_angle_gamma 90.00
_symmetry_space_group_name_H-M 'I 4 m m'
_symmetry_Int_Tables_number 107
_symmetry_space_group_name_Hall 'I 4 -2'
loop_
_atom_site_label
_atom_site_fract_x
_atom_site_fract_y
_atom_site_fract_z
_atom_site_occupancy
Pu1 0.000 0.000 0.000 1
P1 0.000 0.000 0.594 1
Se1 0.000 0.000 0.346 1



[2]
# Pu8Te4P3Se (PBE, relaxed)
# Density   10.20 g/cm³
# Electronic total energy   -10.32 eV/atom
# Raw formation energy   -1.134 eV/atom
# Volume   858 Å³/cell
data_Pu8Te4P3Se
_cell_length_a 14.561
_cell_length_b 8.394
_cell_length_c 8.508
_cell_angle_alpha 90.00
_cell_angle_beta 124.39
_cell_angle_gamma 90.00
_symmetry_space_group_name_H-M 'C 1 2/m 1'
_symmetry_Int_Tables_number 12
loop_
_symmetry_equiv_pos_as_xyz
'x,y,z'
'-x,-y,-z'
'-x,y,-z'
'x,-y,z'
'x+1/2,y+1/2,z'
'-x+1/2,-y+1/2,-z'
'-x+1/2,y+1/2,-z'
'x+1/2,-y+1/2,z'
loop_
_atom_site_label
_atom_site_fract_x
_atom_site_fract_y
_atom_site_fract_z
_atom_site_occupancy
Pu1 0.012 0.244 0.280 1
Pu2 0.239 0.000 0.716 1
Pu3 0.244 0.500 0.720 1
Te1 0.000 0.000 0.000 1
Te2 0.000 0.500 0.000 1
Te3 0.250 0.250 0.000 1
P1 0.000 0.000 0.500 1
P2 0.250 0.250 0.500 1
Se1 0.000 0.500 0.500 1



- What is the formula in the first record?
  PuPSe



- Which of these has the highest raw formation energy?
  PuPSe



Copy entry 1 word for word.
# PuPSe (PBE, relaxed)
# Density   8.44 g/cm³
# Electronic total energy   -8.54 eV/atom
# Raw formation energy   -0.798 eV/atom
# Volume   139 Å³/cell
data_PuPSe
_cell_length_a 3.814
_cell_length_b 3.814
_cell_length_c 9.575
_cell_angle_alpha 90.00
_cell_angle_beta 90.00
_cell_angle_gamma 90.00
_symmetry_space_group_name_H-M 'I 4 m m'
_symmetry_Int_Tables_number 107
_symmetry_space_group_name_Hall 'I 4 -2'
loop_
_atom_site_label
_atom_site_fract_x
_atom_site_fract_y
_atom_site_fract_z
_atom_site_occupancy
Pu1 0.000 0.000 0.000 1
P1 0.000 0.000 0.594 1
Se1 0.000 0.000 0.346 1